1.
A relaxed ZnCo2Cl crystal, computed with PBE-GGA.

a b c (Å): 2.9936 3.4240 6.0989
angles (deg): 90.00 90.00 90.00
Element x y z (fractional)
Zn 0.0000 0.0000 0.0000
Co 0.5000 0.5000 0.1852
Co 0.5000 0.5000 0.8148
Cl 0.0000 0.5000 0.5000

**Formation energy (no corrections)**: 0.69 eV/f.u.
**ΔE to the lowest computed polymorph**: 0.376 eV/f.u.
**Total moment**: 0.8281 μB/atom
**Density of states at the Fermi level**: 1.150 states/eV/atom
**Calculated volume**: 63 Å³/cell
**SG**: Pmmm (47)

2.
A relaxed Tc2PF2 crystal, computed with PBE-GGA.

a b c (Å): 6.6151 6.6151 2.8951
angles (deg): 90.00 90.00 90.00
Element x y z (fractional)
Tc 0.2342 0.2658 0.0000
Tc 0.2658 0.7658 0.0000
Tc 0.7342 0.2342 0.0000
Tc 0.7658 0.7342 0.0000
P 0.0000 0.0000 0.5000
P 0.5000 0.5000 0.5000
F 0.1101 0.6101 0.5000
F 0.3899 0.1101 0.5000
F 0.6101 0.8899 0.5000
F 0.8899 0.3899 0.5000

**Formation energy (no corrections)**: 0.16 eV/f.u.
**ΔE to the lowest computed polymorph**: 0.113 eV/f.u.
**Total moment**: 0.0000 μB/atom
**Density of states at the Fermi level**: 0.835 states/eV/atom
**Calculated volume**: 127 Å³/cell
**SG**: P4/mbm (127)

3.
A relaxed YTl2Ru crystal, computed with PBE-GGA.

a b c (Å): 3.4516 3.4516 7.4208
angles (deg): 90.00 90.00 90.00
Element x y z (fractional)
Y 0.0000 0.0000 0.0000
Tl 0.5000 0.5000 0.2886
Tl 0.5000 0.5000 0.7114
Ru 0.0000 0.0000 0.5000

**ΔE to the lowest computed polymorph**: 0.443 eV/f.u.
**Energy of formation from the pure elements**: 0.48 eV per formula unit
**Total moment**: 0.1072 μB/atom
**Density of states at the Fermi level**: 0.507 states/eV/atom
**Calculated volume**: 88 Å³/cell
**SG**: P4/mmm (123)

4.
A relaxed AcTm4Co crystal, computed with PBE-GGA.

a b c (Å): 6.0698 3.6383 9.0311
angles (deg): 90.00 100.30 90.00
Element x y z (fractional)
Ac 0.0000 0.0000 0.0000
Tm 0.1103 0.5000 0.3499
Tm 0.3999 0.0000 0.6913
Tm 0.6001 0.0000 0.3087
Tm 0.8897 0.5000 0.6501
Co 0.5000 0.5000 0.5000

**Energy of formation from the pure elements**: 0.48 eV per formula unit
**Total moment**: 0.0000 μB/atom
**Density of states at the Fermi level**: 1.051 states/eV/atom
**Calculated volume**: 196 Å³/cell
**SG**: P2/m (10)

5.
A relaxed HfSc2SbC crystal, computed with PBE-GGA.

a b c (Å): 4.5494 4.5494 4.4680
angles (deg): 90.00 90.00 90.00
Element x y z (fractional)
Hf 0.0000 0.0000 0.0000
Sc 0.0000 0.5000 0.5000
Sc 0.5000 0.0000 0.5000
Sb 0.5000 0.5000 0.0000
C 0.0000 0.0000 0.5000

**Formation energy (no corrections)**: -3.15 eV/f.u.
**Total moment**: 0.0000 μB/atom
**Density of states at the Fermi level**: 0.819 states/eV/atom
**Calculated volume**: 92 Å³/cell
**SG**: P4/mmm (123)

6.
A relaxed NdDyPu4 crystal, computed with PBE-GGA.

a b c (Å): 6.1983 6.1983 6.1983
angles (deg): 60.00 60.00 60.00
Element x y z (fractional)
Nd 0.0000 0.0000 0.0000
Dy 0.7500 0.7500 0.7500
Pu 0.3751 0.3751 0.3751
Pu 0.3751 0.3751 0.8746
Pu 0.3751 0.8746 0.3751
Pu 0.8746 0.3751 0.3751

**Energy of formation from the pure elements**: 1.44 eV per formula unit
**Total moment**: 3.7858 μB/atom
**Density of states at the Fermi level**: 4.662 states/eV/atom
**Calculated volume**: 168 Å³/cell
**SG**: F-43m (216)